A relaxed Pr2CoAgC crystal, computed with PBE.

Unit cell a=5.322 b=5.322 c=3.663 alpha=90.00 beta=90.00 gamma=90.00
Space group P4/mmm (No. 123)
Asymmetric unit:
Pr: 0.000 0.500 0.000
Co: 0.000 0.000 0.500
Ag: 0.500 0.500 0.500
C: 0.000 0.000 0.000

Results
ΔE_f = -0.225 eV/atom
DOS(E_F) = 3.0 states/eV/cell

A relaxed PuThSc2As4 crystal, computed with PBE.

Unit cell a=6.968 b=4.071 c=7.033 alpha=90.00 beta=109.75 gamma=90.00
Space group P2/m (No. 10)
Asymmetric unit:
Pu: 0.000 0.000 0.000
Th: 0.000 0.500 0.500
Sc: 0.500 0.000 0.500
Sc: 0.500 0.500 0.000
As: 0.268 0.500 0.252
As: 0.272 0.000 0.760

Results
ΔE_f = -1.292 eV/atom
DOS(E_F) = 13.1 states/eV/cell

A relaxed La4C2Se crystal, computed with PBE.

Unit cell a=3.9208 b=3.9208 c=42.1574 alpha=90.00 beta=90.00 gamma=120.00
Space group R-3m (No. 166, hexagonal axes)
Asymmetric unit:
La: 0.0000 0.0000 0.1168
La: 0.0000 0.0000 0.2850
C: 0.0000 0.0000 0.4203
Se: 0.0000 0.0000 0.0000

Results
Raw total energy = -6.57 eV/atom
DOS(E_F) = 10.7 states/eV/cell

A relaxed ScTaCo2 crystal, computed with PBE.

Unit cell a=6.269 b=6.277 c=2.991 alpha=90.00 beta=90.00 gamma=90.00
Space group Cmmm (No. 65)
Asymmetric unit:
Sc: 0.000 0.000 0.000
Ta: 0.000 0.500 0.000
Co: 0.250 0.250 0.500

Results
ΔE_f = -0.241 eV/atom
DOS(E_F) = 7.4 states/eV/cell

A relaxed Na3SnHg3 crystal, computed with PBE.

Unit cell a=4.511 b=11.308 c=15.566 alpha=90.00 beta=90.00 gamma=90.00
Space group Cmcm (No. 63)
Asymmetric unit:
Na: 0.000 0.042 0.250
Na: 0.000 0.305 0.097
Sn: 0.000 0.000 0.000
Hg: 0.000 0.228 0.750
Hg: 0.000 0.406 0.606

Results
ΔE_f = -0.190 eV/atom
DOS(E_F) = 11.0 states/eV/cell

A relaxed PrNd4DyEr2 crystal, computed with PBE.

Unit cell a=6.269 b=3.637 c=11.961 alpha=90.00 beta=100.16 gamma=90.00
Space group P2/m (No. 10)
Asymmetric unit:
Pr: 0.000 0.000 0.000
Nd: 0.251 0.000 0.749
Nd: 0.252 0.500 0.254
Dy: 0.000 0.500 0.500
Er: 0.500 0.000 0.500
Er: 0.500 0.500 0.000

Results
ΔE_f = 0.017 eV/atom
DOS(E_F) = 10.9 states/eV/cell

A relaxed Cu2MoW crystal, computed with PBE.

Unit cell a=3.700 b=3.712 c=8.169 alpha=90.00 beta=90.00 gamma=90.00
Space group Immm (No. 71)
Asymmetric unit:
Cu: 0.000 0.000 0.250
Mo: 0.000 0.500 0.000
W: 0.000 0.500 0.500

Results
ΔE_f = 0.296 eV/atom
DOS(E_F) = 5.6 states/eV/cell

A relaxed Na2MoS crystal, computed with PBE.

Unit cell a=10.027 b=10.027 c=4.583 alpha=90.00 beta=90.00 gamma=90.00
Space group I-42d (No. 122)
Asymmetric unit:
Na: 0.113 0.750 0.125
Mo: 0.000 0.000 0.500
S: 0.000 0.000 0.000

Results
Raw total energy = -4.09 eV/atom
DOS(E_F) = 12.1 states/eV/cell

A relaxed BaZn crystal, computed with PBE.

Unit cell a=9.334 b=9.334 c=9.334 alpha=90.00 beta=90.00 gamma=90.00
Space group Pm-3n (No. 223)
Asymmetric unit:
Ba: 0.000 0.250 0.500
Zn: 0.000 0.500 0.250

Results
ΔE_f = 0.416 eV/atom
DOS(E_F) = 4.3 states/eV/cell

A relaxed Ta6TiMoW2 crystal, computed with PBE.

Unit cell a=7.9782 b=7.9782 c=9.8233 alpha=90.00 beta=90.00 gamma=120.00
Space group R3 (No. 146, hexagonal axes)
Asymmetric unit:
Ta: 0.0016 0.3290 0.0000
Ta: 0.0025 0.6769 0.5017
Ti: 0.0000 0.0000 0.1491
Mo: 0.0000 0.0000 0.6444
W: 0.0000 0.0000 0.3959
W: 0.0000 0.0000 0.8996

Results
ΔE_f = 0.326 eV/atom
DOS(E_F) = 29.1 states/eV/cell

A relaxed SmCdGa2Pt5 crystal, computed with PBE.

Unit cell a=4.144 b=4.144 c=9.560 alpha=90.00 beta=90.00 gamma=90.00
Space group P4/mmm (No. 123)
Asymmetric unit:
Sm: 0.000 0.000 0.000
Cd: 0.000 0.000 0.500
Ga: 0.500 0.500 0.372
Pt: 0.000 0.500 0.226
Pt: 0.500 0.500 0.000

Results
ΔE_f = -0.633 eV/atom
DOS(E_F) = 2.1 states/eV/cell

A relaxed BaTa2AuSe crystal, computed with PBE.

Unit cell a=5.003 b=5.003 c=6.458 alpha=90.00 beta=90.00 gamma=90.00
Space group P4/mmm (No. 123)
Asymmetric unit:
Ba: 0.000 0.000 0.000
Ta: 0.000 0.500 0.500
Au: 0.000 0.000 0.500
Se: 0.500 0.500 0.000

Results
Raw total energy = -5.48 eV/atom
DOS(E_F) = 4.0 states/eV/cell

Number 1: calculated volume 103.7 Å³ per cell. Number 2: calculated volume 187.8 Å³ per cell. Number 3: calculated volume 561.2 Å³ per cell. Number 4: calculated volume 117.7 Å³ per cell. Number 5: calculated volume 794.0 Å³ per cell. Number 6: calculated volume 268.4 Å³ per cell. Number 7: calculated volume 112.2 Å³ per cell. Number 8: calculated volume 460.8 Å³ per cell. Number 9: calculated volume 813.2 Å³ per cell. Number 10: calculated volume 541.5 Å³ per cell. Number 11: calculated volume 164.2 Å³ per cell. Number 12: calculated volume 161.6 Å³ per cell.